[1]
Compound: PuBeP
Source: Alexandria via LeMat-Bulk
Functional: GGA-PBE
Structure: relaxed

Properties
- DFT total energy (eV per atom) = -8.564
- formation energy (eV/atom) = -0.741

CIF file:
```
data_PuBeP
_symmetry_space_group_name_H-M 'P -6 m 2'
_symmetry_Int_Tables_number 187
_symmetry_space_group_name_Hall 'P -6 2'
_cell_length_a 3.7037
_cell_length_b 3.7037
_cell_length_c 4.0874
_cell_angle_alpha 90.00
_cell_angle_beta 90.00
_cell_angle_gamma 120.00
loop_
_atom_site_label
_atom_site_fract_x
_atom_site_fract_y
_atom_site_fract_z
Pu1 0.0000 0.0000 0.0000
Be1 0.6667 0.3333 0.5000
P1 0.3333 0.6667 0.5000
```

=====

[2]
Compound: CaAcCd10
Source: Alexandria via LeMat-Bulk
Functional: GGA-PBE
Structure: relaxed

Properties
- DFT total energy (eV per atom) = -1.466
- formation energy (eV/atom) = -0.194

CIF file:
```
data_CaAcCd10
_symmetry_space_group_name_H-M 'P m m m'
_symmetry_Int_Tables_number 47
_cell_length_a 4.876
_cell_length_b 5.983
_cell_length_c 10.431
_cell_angle_alpha 90.00
_cell_angle_beta 90.00
_cell_angle_gamma 90.00
loop_
_symmetry_equiv_pos_as_xyz
'x,y,z'
'-x,-y,-z'
'-x,-y,z'
'x,y,-z'
'x,-y,-z'
'-x,y,z'
'-x,y,-z'
'x,-y,z'
loop_
_atom_site_label
_atom_site_fract_x
_atom_site_fract_y
_atom_site_fract_z
Ca1 0.000 0.000 0.000
Ac1 0.000 0.500 0.500
Cd1 0.000 0.000 0.322
Cd2 0.000 0.500 0.158
Cd3 0.500 0.000 0.500
Cd4 0.500 0.253 0.254
Cd5 0.500 0.500 0.000
```

=====

[3]
Compound: Ca2Zr
Source: Alexandria via LeMat-Bulk
Functional: GGA-PBE
Structure: relaxed

Properties
- DFT total energy (eV per atom) = -3.877
- formation energy (eV/atom) = 0.307

CIF file:
```
data_Ca2Zr
_symmetry_space_group_name_H-M 'C 1 2/m 1'
_symmetry_Int_Tables_number 12
_cell_length_a 15.080
_cell_length_b 3.519
_cell_length_c 7.800
_cell_angle_alpha 90.00
_cell_angle_beta 104.86
_cell_angle_gamma 90.00
loop_
_symmetry_equiv_pos_as_xyz
'x,y,z'
'-x,-y,-z'
'-x,y,-z'
'x,-y,z'
'x+1/2,y+1/2,z'
'-x+1/2,-y+1/2,-z'
'-x+1/2,y+1/2,-z'
'x+1/2,-y+1/2,z'
loop_
_atom_site_label
_atom_site_fract_x
_atom_site_fract_y
_atom_site_fract_z
Ca1 0.127 0.000 0.056
Ca2 0.171 0.000 0.609
Zr1 0.007 0.500 0.317
```